{
  "formula": "HoTe2ClO5",
  "functional": "PBE",
  "state": "relaxed",
  "energy_ha_per_atom": -0.2185,
  "m_tot_mub_per_cell": 0.0,
  "space_group": "P-1",
  "lattice": [[7.564, 0.000, 0.000], [-0.262, 7.892, 0.000], [-1.612, -1.963, 9.697]],
  "species": ["Ho", "Ho", "Ho", "Ho", "Te", "Te", "Te", "Te", "Te", "Te", "Te", "Te", "Cl", "Cl", "Cl", "Cl", "O", "O", "O", "O", "O", "O", "O", "O", "O", "O", "O", "O", "O", "O", "O", "O", "O", "O", "O", "O"],
  "frac_coords": [[0.239, 0.489, 0.450], [0.255, 0.007, 0.519], [0.745, 0.993, 0.481], [0.761, 0.511, 0.550], [0.000, 0.077, 0.228], [0.000, 0.923, 0.772], [0.169, 0.378, 0.770], [0.377, 0.787, 0.227], [0.450, 0.759, 0.766], [0.550, 0.241, 0.234], [0.623, 0.213, 0.773], [0.831, 0.622, 0.230], [0.168, 0.423, 0.149], [0.338, 0.106, 0.922], [0.662, 0.894, 0.078], [0.832, 0.577, 0.851], [0.034, 0.080, 0.648], [0.059, 0.455, 0.612], [0.167, 0.203, 0.381], [0.169, 0.910, 0.151], [0.223, 0.802, 0.659], [0.285, 0.742, 0.384], [0.327, 0.590, 0.852], [0.347, 0.279, 0.663], [0.469, 0.007, 0.350], [0.492, 0.599, 0.612], [0.508, 0.401, 0.388], [0.531, 0.993, 0.650], [0.653, 0.721, 0.337], [0.673, 0.410, 0.148], [0.715, 0.258, 0.616], [0.777, 0.198, 0.341], [0.831, 0.090, 0.849], [0.833, 0.797, 0.619], [0.941, 0.545, 0.388], [0.966, 0.920, 0.352]]
}

***

{
  "formula": "HoTeClO3",
  "functional": "PBE",
  "state": "relaxed",
  "energy_ha_per_atom": -0.2286,
  "m_tot_mub_per_cell": 0.0,
  "space_group": "Pnma",
  "lattice": [[7.208, 0.000, 0.000], [0.000, 6.939, 0.000], [0.000, 0.000, 9.042]],
  "species": ["Ho", "Ho", "Ho", "Ho", "Te", "Te", "Te", "Te", "Cl", "Cl", "Cl", "Cl", "O", "O", "O", "O", "O", "O", "O", "O", "O", "O", "O", "O"],
  "frac_coords": [[0.092, 0.250, 0.037], [0.408, 0.750, 0.537], [0.592, 0.250, 0.463], [0.908, 0.750, 0.963], [0.175, 0.250, 0.631], [0.325, 0.750, 0.131], [0.675, 0.250, 0.869], [0.825, 0.750, 0.369], [0.063, 0.750, 0.684], [0.437, 0.250, 0.184], [0.563, 0.750, 0.816], [0.937, 0.250, 0.316], [0.149, 0.565, 0.063], [0.149, 0.935, 0.063], [0.244, 0.250, 0.830], [0.256, 0.750, 0.330], [0.351, 0.065, 0.563], [0.351, 0.435, 0.563], [0.649, 0.565, 0.437], [0.649, 0.935, 0.437], [0.744, 0.250, 0.670], [0.756, 0.750, 0.170], [0.851, 0.065, 0.937], [0.851, 0.435, 0.937]]
}

***

{
  "formula": "YHoCl2O2",
  "functional": "PBE",
  "state": "relaxed",
  "energy_ha_per_atom": -0.2633,
  "m_tot_mub_per_cell": 0.0,
  "space_group": "P4mm",
  "lattice": [[3.884, 0.000, 0.000], [0.000, 3.884, 0.000], [0.000, 0.000, 6.677]],
  "species": ["Y", "Ho", "Cl", "Cl", "O", "O"],
  "frac_coords": [[0.000, 0.000, 0.000], [0.500, 0.500, 0.337], [0.000, 0.000, 0.542], [0.500, 0.500, 0.798], [0.000, 0.500, 0.171], [0.500, 0.000, 0.171]]
}

***

{
  "formula": "PrHoSbCl2",
  "functional": "PBE",
  "state": "relaxed",
  "energy_ha_per_atom": -0.1867,
  "m_tot_mub_per_cell": 0.0,
  "space_group": "P3m1",
  "lattice": [[4.237, 0.000, 0.000], [-2.118, 3.669, 0.000], [0.000, 0.000, 10.681]],
  "species": ["Pr", "Ho", "Sb", "Cl", "Cl"],
  "frac_coords": [[0.000, 0.000, 0.000], [0.667, 0.333, 0.660], [0.333, 0.667, 0.820], [0.000, 0.000, 0.521], [0.667, 0.333, 0.154]]
}

***

{
  "formula": "HoReCl",
  "functional": "PBE",
  "state": "relaxed",
  "energy_ha_per_atom": -0.2105,
  "m_tot_mub_per_cell": 3.0,
  "space_group": "P-6m2",
  "lattice": [[5.027, 0.000, 0.000], [-2.514, 4.354, 0.000], [0.000, 0.000, 9.377]],
  "species": ["Ho", "Ho", "Ho", "Re", "Re", "Re", "Cl", "Cl", "Cl"],
  "frac_coords": [[0.000, 0.000, 0.000], [0.667, 0.333, 0.299], [0.667, 0.333, 0.701], [0.000, 0.000, 0.387], [0.000, 0.000, 0.613], [0.667, 0.333, 0.000], [0.333, 0.667, 0.168], [0.333, 0.667, 0.500], [0.333, 0.667, 0.832]]
}

***

{
  "formula": "HoSCl3",
  "functional": "PBE",
  "state": "relaxed",
  "energy_ha_per_atom": -0.1678,
  "e_above_lowest_polymorph_mev_per_atom": 0.0,
  "m_tot_mub_per_cell": 2.0,
  "space_group": "C2/m",
  "lattice": [[3.485, -5.916, 0.000], [3.485, 5.916, 0.000], [-0.960, 0.000, 9.076]],
  "species": ["Ho", "Ho", "S", "S", "Cl", "Cl", "Cl", "Cl", "Cl", "Cl"],
  "frac_coords": [[0.169, 0.831, 0.000], [0.831, 0.169, 0.000], [0.388, 0.388, 0.550], [0.612, 0.612, 0.450], [0.104, 0.104, 0.836], [0.147, 0.519, 0.166], [0.481, 0.853, 0.834], [0.519, 0.147, 0.166], [0.853, 0.481, 0.834], [0.896, 0.896, 0.164]]
}